[1]
LiTaSb2I after structural relaxation, computed with PBE.

POSCAR file:
```
LiTaSb2I
1.0
4.8633 0.0000 0.0000
0.0000 4.8633 0.0000
0.0000 0.0000 5.2873
I Sb Li Ta
1 2 1 1
Cartesian
0.0000 0.0000 2.6436 I
0.0000 2.4316 0.0000 Sb
2.4316 0.0000 0.0000 Sb
0.0000 0.0000 0.0000 Li
2.4316 2.4316 2.6436 Ta
```

Calculated values
**Formation energy (no corrections)**: 0.960 eV per atom
**Polymorph energy (0 for the lowest one)**: 17.32 kcal/mol of atoms
**M_tot**: 0.403 μB/atom

***

[2]
LiTaSb2I after structural relaxation, computed with PBE.

POSCAR file:
```
LiTaSb2I
1.0
5.3249 0.0000 0.0000
0.0000 5.3249 0.0000
0.0000 0.0000 6.0181
I Sb Li Ta
1 2 1 1
Cartesian
0.0000 0.0000 3.0090 I
0.0000 2.6624 0.0000 Sb
2.6624 0.0000 0.0000 Sb
2.6624 2.6624 3.0090 Li
0.0000 0.0000 0.0000 Ta
```

Calculated values
**Formation energy (no corrections)**: 0.209 eV per atom
**Polymorph energy (0 for the lowest one)**: 0.00 kcal/mol of atoms
**M_tot**: 0.000 μB/atom

***

[3]
LiTcSbI2 after structural relaxation, computed with PBE.

POSCAR file:
```
LiTcSbI2
1.0
-3.4326 -3.0397 -2.5377
2.7550 -4.2457 1.3590
-2.9239 -0.4564 4.5017
I Sb Tc Li
2 1 1 1
Cartesian
1.3775 -2.1228 0.6795 I
-1.7163 -1.5199 -1.2689 I
-1.4620 -0.2282 2.2508 Sb
-1.8008 -3.8709 1.6615 Tc
0.0000 0.0000 0.0000 Li
```

Calculated values
**Formation energy (no corrections)**: 0.829 eV per atom
**Polymorph energy (0 for the lowest one)**: 14.01 kcal/mol of atoms
**M_tot**: 0.805 μB/atom

***

Summary of DOS at the Fermi energy in states/eV/f.u.
5.40; 3.10; 3.69
(order as listed above)